(1)
# Mg7TlGa2 (PBE-GGA, relaxed)
data_Mg7TlGa2
_chemical_formula_sum 'Mg14 Tl2 Ga4'
_symmetry_space_group_name_H-M 'I 4/m m m'
_symmetry_Int_Tables_number 139
_symmetry_space_group_name_Hall '-I 4 2'
_cell_length_a 4.631
_cell_length_b 4.631
_cell_length_c 21.150
_cell_angle_alpha 90.00
_cell_angle_beta 90.00
_cell_angle_gamma 90.00
loop_
_atom_site_label
_atom_site_type_symbol
_atom_site_fract_x
_atom_site_fract_y
_atom_site_fract_z
Mg1 Mg 0.000 0.000 0.000
Mg2 Mg 0.000 0.500 0.101
Mg3 Mg 0.000 0.500 0.250
Tl1 Tl 0.000 0.000 0.500
Ga1 Ga 0.000 0.000 0.173
# * V: 226.8 Å³/f.u.
# * electronic total energy: -2.04 eV/atom
# * Fermi-level density of states: 7.45 states/eV per cell
# * crystal system: tetragonal
# * formation energy: -0.789 eV per formula unit
# * magnetization: 0.000 μB per formula unit



(2)
# Rb5BeH8 (PBE-GGA, relaxed)
data_Rb5BeH8
_chemical_formula_sum 'Rb10 Be2 H16'
_symmetry_space_group_name_H-M 'I -4'
_symmetry_Int_Tables_number 82
_symmetry_space_group_name_Hall 'I -4'
_cell_length_a 9.456
_cell_length_b 9.456
_cell_length_c 7.633
_cell_angle_alpha 90.00
_cell_angle_beta 90.00
_cell_angle_gamma 90.00
loop_
_atom_site_label
_atom_site_type_symbol
_atom_site_fract_x
_atom_site_fract_y
_atom_site_fract_z
Rb1 Rb 0.000 0.000 0.000
Rb2 Rb 0.141 0.714 0.494
Be1 Be 0.000 0.500 0.750
H1 H 0.061 0.190 0.259
H2 H 0.071 0.606 0.860
# * V: 341.2 Å³/f.u.
# * electronic total energy: -2.54 eV/atom
# * Fermi-level density of states: 16.55 states/eV per cell
# * crystal system: tetragonal
# * magnetization: 1.002 μB per formula unit



(3)
# KNaMgI4 (PBE-GGA, relaxed)
data_KNaMgI4
_chemical_formula_sum 'K2 Na2 Mg2 I8'
_symmetry_space_group_name_H-M 'P 1 21/m 1'
_symmetry_Int_Tables_number 11
_symmetry_space_group_name_Hall '-P 2yb'
_cell_length_a 7.886
_cell_length_b 8.324
_cell_length_c 9.508
_cell_angle_alpha 90.00
_cell_angle_beta 106.40
_cell_angle_gamma 90.00
loop_
_atom_site_label
_atom_site_type_symbol
_atom_site_fract_x
_atom_site_fract_y
_atom_site_fract_z
K1 K 0.223 0.250 0.052
Na1 Na 0.227 0.250 0.564
Mg1 Mg 0.244 0.750 0.323
I1 I 0.004 0.000 0.270
I2 I 0.442 0.750 0.130
I3 I 0.467 0.750 0.599
# * V: 299.4 Å³/f.u.
# * electronic total energy: -2.66 eV/atom
# * Fermi-level density of states: 0.00 states/eV per cell
# * crystal system: monoclinic
# * magnetization: 0.000 μB per formula unit



(4)
# DyTm2Cd (PBE-GGA, relaxed)
data_DyTm2Cd
_chemical_formula_sum 'Dy2 Tm4 Cd2'
_symmetry_space_group_name_H-M 'I m m m'
_symmetry_Int_Tables_number 71
_symmetry_space_group_name_Hall '-I 2 2'
_cell_length_a 3.747
_cell_length_b 5.342
_cell_length_c 11.280
_cell_angle_alpha 90.00
_cell_angle_beta 90.00
_cell_angle_gamma 90.00
loop_
_atom_site_label
_atom_site_type_symbol
_atom_site_fract_x
_atom_site_fract_y
_atom_site_fract_z
Dy1 Dy 0.000 0.000 0.000
Tm1 Tm 0.000 0.500 0.225
Cd1 Cd 0.000 0.000 0.500
# * V: 112.9 Å³/f.u.
# * electronic total energy: -3.76 eV/atom
# * Fermi-level density of states: 8.21 states/eV per cell
# * crystal system: orthorhombic
# * formation energy: -0.583 eV per formula unit
# * magnetization: 0.000 μB per formula unit
# * excess energy over the best structure of this formula in the dataset: 0 meV/atom